DFT (GGA-PBE) results for a relaxed PmGa2As crystal.

Cell lengths 3.6320, 3.6320, 6.4452 Å; angles 90.00, 90.00, 90.00 degrees
Space group P4/mmm (No. 123)
Unique sites:
Pm 0.0000 0.0000 0.0000
Ga 0.5000 0.5000 0.2960
As 0.0000 0.0000 0.5000

Results
Formation energy from the elements   -363 meV per atom
Offset from the most stable computed form   0.2229 eV per atom

---

DFT (GGA-PBE) results for a relaxed Ce6Ga2Fe crystal.

Cell lengths 6.7308, 6.7308, 9.5083 Å; angles 90.00, 90.00, 90.00 degrees
Space group I4/mmm (No. 139)
Unique sites:
Ce 0.0000 0.0000 0.2319
Ce 0.2331 0.2331 0.0000
Ga 0.0000 0.5000 0.2500
Fe 0.0000 0.0000 0.5000

Results
Formation energy from the elements   -218 meV per atom

---

DFT (GGA-PBE) results for a relaxed Tm4Pt crystal.

Cell lengths 10.8010, 10.8010, 10.8010 Å; angles 90.00, 90.00, 90.00 degrees
Space group Fd-3m (No. 227, origin choice 2)
Unique sites:
Tm 0.0151 0.0151 0.2349
Pt 0.1250 0.1250 0.6250

Results
Formation energy from the elements   -47 meV per atom
Offset from the most stable computed form   0.4506 eV per atom

---

DFT (GGA-PBE) results for a relaxed KZr7 crystal.

Cell lengths 9.1913, 9.1913, 9.1913 Å; angles 90.00, 90.00, 90.00 degrees
Space group Fm-3m (No. 225)
Unique sites:
K 0.0000 0.0000 0.0000
Zr 0.0000 0.0000 0.5000
Zr 0.0000 0.2500 0.2500

Results
Formation energy from the elements   483 meV per atom

---

DFT (GGA-PBE) results for a relaxed TbNd7Dy12 crystal.

Cell lengths 12.0151, 12.0151, 16.2704 Å; angles 90.00, 90.00, 120.00 degrees
Space group R-3 (No. 148, hexagonal axes)
Unique sites:
Tb 0.0000 0.0000 0.0000
Nd 0.0000 0.0000 0.5000
Nd 0.0560 0.1876 0.7891
Dy 0.0254 0.4491 0.7223
Dy 0.0519 0.5861 0.0826

Results
Formation energy from the elements   231 meV per atom
Offset from the most stable computed form   0.0000 eV per atom

---

DFT (GGA-PBE) results for a relaxed AsHIrSe2 crystal.

Cell lengths 5.0924, 5.0924, 4.6601 Å; angles 90.00, 90.00, 90.00 degrees
Space group P4/mmm (No. 123)
Unique sites:
As 0.0000 0.0000 0.0000
H 0.5000 0.5000 0.0000
Ir 0.0000 0.0000 0.5000
Se 0.0000 0.5000 0.5000

Results
Offset from the most stable computed form   0.2074 eV per atom

---

DFT (GGA-PBE) results for a relaxed KSc2Rh crystal.

Cell lengths 3.3068, 3.3068, 31.9502 Å; angles 90.00, 90.00, 120.00 degrees
Space group R3m (No. 160, hexagonal axes)
Unique sites:
K 0.0000 0.0000 0.0000
Sc 0.0000 0.0000 0.5296
Sc 0.0000 0.0000 0.7775
Rh 0.0000 0.0000 0.2506

Results
Formation energy from the elements   123 meV per atom
Offset from the most stable computed form   0.3630 eV per atom

---

DFT (GGA-PBE) results for a relaxed SnMoAs2Se crystal.

Cell lengths 4.8046, 4.8046, 5.3770 Å; angles 90.00, 90.00, 90.00 degrees
Space group P4/mmm (No. 123)
Unique sites:
Sn 0.0000 0.0000 0.0000
Mo 0.5000 0.5000 0.5000
As 0.0000 0.5000 0.5000
Se 0.5000 0.5000 0.0000

Results
E_form (uncorrected)   0.308 eV per atom
Offset from the most stable computed form   0.0000 eV per atom

---

DFT (GGA-PBE) results for a relaxed InAsPd3 crystal.

Cell lengths 7.7683, 5.3870, 9.6197 Å; angles 90.00, 117.98, 90.00 degrees
Space group P2_1/c (No. 14)
Unique sites:
In 0.1647 0.2372 0.0885
As 0.3326 0.6717 0.8328
Pd 0.0189 0.5786 0.2175
Pd 0.2470 0.7458 0.0502
Pd 0.3673 0.2004 0.9215

Results
Formation energy from the elements   -391 meV per atom
Offset from the most stable computed form   0.0000 eV per atom

---

DFT (GGA-PBE) results for a relaxed KInGa2Pb crystal.

Cell lengths 4.8734, 4.9070, 12.0318 Å; angles 90.00, 90.00, 90.00 degrees
Space group Imm2 (No. 44)
Unique sites:
K 0.0000 0.0000 0.0000
In 0.0000 0.5000 0.7614
Ga 0.0000 0.0000 0.3742
Ga 0.0000 0.5000 0.2640
Pb 0.0000 0.0000 0.6119

Results
Formation energy from the elements   -95 meV per atom

---

DFT (GGA-PBE) results for a relaxed YIn2Sb2 crystal.

Cell lengths 7.9922, 7.9922, 4.4622 Å; angles 90.00, 90.00, 90.00 degrees
Space group P4/mbm (No. 127)
Unique sites:
Y 0.0000 0.0000 0.0000
In 0.1700 0.3300 0.5000
Sb 0.1393 0.6393 0.0000

Results
E_form (uncorrected)   -0.245 eV per atom

---

DFT (GGA-PBE) results for a relaxed Cs2NaTlAg crystal.

Cell lengths 7.1460, 7.1460, 5.5273 Å; angles 90.00, 90.00, 90.00 degrees
Space group P4/mmm (No. 123)
Unique sites:
Cs 0.0000 0.5000 0.0000
Na 0.0000 0.0000 0.5000
Tl 0.5000 0.5000 0.5000
Ag 0.5000 0.5000 0.0000

Results
Formation energy from the elements   91 meV per atom
Offset from the most stable computed form   0.0000 eV per atom

---

DFT (GGA-PBE) results for a relaxed Ag3HgAu12 crystal.

Cell lengths 4.1721, 4.1721, 16.7340 Å; angles 90.00, 90.00, 90.00 degrees
Space group P4/mmm (No. 123)
Unique sites:
Ag 0.0000 0.0000 0.0000
Ag 0.0000 0.0000 0.2464
Hg 0.0000 0.0000 0.5000
Au 0.0000 0.5000 0.1234
Au 0.0000 0.5000 0.3705
Au 0.5000 0.5000 0.0000
Au 0.5000 0.5000 0.2470
Au 0.5000 0.5000 0.5000

Results
Formation energy from the elements   -15 meV per atom

---

DFT (GGA-PBE) results for a relaxed Be2CdTe crystal.

Cell lengths 3.5634, 3.5838, 6.4097 Å; angles 90.00, 90.00, 90.00 degrees
Space group Pmmm (No. 47)
Unique sites:
Be 0.0000 0.0000 0.0000
Be 0.0000 0.5000 0.5000
Cd 0.5000 0.0000 0.5000
Te 0.5000 0.5000 0.0000

Results
E_form (uncorrected)   0.621 eV per atom
Offset from the most stable computed form   0.3176 eV per atom

---

DFT (GGA-PBE) results for a relaxed Eu2YN crystal.

Cell lengths 3.5641, 3.5641, 29.8797 Å; angles 90.00, 90.00, 120.00 degrees
Space group R-3m (No. 166, hexagonal axes)
Unique sites:
Eu 0.0000 0.0000 0.1197
Y 0.0000 0.0000 0.0000
N 0.0000 0.0000 0.5000

Results
E_form (uncorrected)   -0.424 eV per atom

---

DFT (GGA-PBE) results for a relaxed KOsPt crystal.

Cell lengths 4.9338, 4.9338, 2.6696 Å; angles 90.00, 90.00, 120.00 degrees
Space group P-6m2 (No. 187)
Unique sites:
K 0.0000 0.0000 0.0000
Os 0.6667 0.3333 0.5000
Pt 0.3333 0.6667 0.5000

Results
Formation energy from the elements   1101 meV per atom
Offset from the most stable computed form   0.6532 eV per atom

---

DFT (GGA-PBE) results for a relaxed Au5C crystal.

Cell lengths 4.7762, 2.9460, 15.0671 Å; angles 90.00, 90.00, 90.00 degrees
Space group Amm2 (No. 38)
Unique sites:
Au 0.0000 0.0000 0.0000
Au 0.0000 0.0000 0.3231
Au 0.0000 0.0000 0.6586
Au 0.5000 0.0000 0.2114
Au 0.5000 0.0000 0.8857
C 0.5000 0.0000 0.4887

Results
Formation energy from the elements   859 meV per atom
Offset from the most stable computed form   0.2238 eV per atom

---

DFT (GGA-PBE) results for a relaxed LaLuGaRh crystal.

Cell lengths 7.1398, 7.1398, 7.1398 Å; angles 90.00, 90.00, 90.00 degrees
Space group F-43m (No. 216)
Unique sites:
La 0.0000 0.0000 0.0000
Lu 0.0000 0.0000 0.5000
Ga 0.2500 0.2500 0.2500
Rh 0.2500 0.2500 0.7500

Results
Formation energy from the elements   -605 meV per atom

---

DFT (GGA-PBE) results for a relaxed La4SnPbO crystal.

Cell lengths 6.8039, 18.2830, 6.8129 Å; angles 90.00, 90.00, 90.00 degrees
Space group Cmcm (No. 63)
Unique sites:
La 0.0000 0.0661 0.2500
La 0.0000 0.4204 0.2500
La 0.2500 0.2500 0.0000
Sn 0.0000 0.1139 0.7500
Pb 0.0000 0.3900 0.7500
O 0.0000 0.2904 0.2500

Results
E_form (uncorrected)   -1.276 eV per atom

---

DFT (GGA-PBE) results for a relaxed BaNiS crystal.

Cell lengths 17.1540, 4.5812, 4.2424 Å; angles 90.00, 103.54, 90.00 degrees
Space group Cm (No. 8)
Unique sites:
Ba 0.0000 0.0000 0.0000
Ba 0.2349 0.5000 0.7501
Ni 0.3109 0.0000 0.3223
Ni 0.3877 0.0000 0.8949
S 0.1814 0.0000 0.2004
S 0.4392 0.0000 0.4433

Results
E_form (uncorrected)   -0.987 eV per atom

---

Number 1: energy -4.226 eV/atom. Number 2: energy -5.787 eV/atom. Number 3: energy -4.833 eV/atom. Number 4: energy -7.134 eV/atom. Number 5: energy -4.431 eV/atom. Number 6: energy -3.774 eV/atom. Number 7: energy -5.155 eV/atom. Number 8: energy -5.215 eV/atom. Number 9: energy -4.984 eV/atom. Number 10: energy -2.814 eV/atom. Number 11: energy -4.282 eV/atom. Number 12: energy -1.557 eV/atom. Number 13: energy -3.026 eV/atom. Number 14: energy -2.257 eV/atom. Number 15: energy -9.258 eV/atom. Number 16: energy -5.022 eV/atom. Number 17: energy -3.409 eV/atom. Number 18: energy -5.561 eV/atom. Number 19: energy -5.902 eV/atom. Number 20: energy -4.931 eV/atom.